The following is a DFT calculation (PBE) of an optimized crystal structure of Nd6Er4Sc.

Structure (POSCAR):
```
Nd6Er4Sc
1.0
-5.5895 -0.8012 -1.2649
2.5961 -3.2263 3.8077
-6.5971 16.6498 18.6052
Sc Nd Er
2 12 8
direct
0.7969 0.5939 0.2500
0.2031 0.4061 0.7500
0.1304 0.2609 0.1830
0.1304 0.2609 0.3170
0.5000 0.0000 0.0000
0.1955 0.3911 0.8966
0.5000 0.0000 0.5000
0.1955 0.3911 0.6034
0.8045 0.6089 0.3966
0.5398 0.0797 0.7500
0.8045 0.6089 0.1034
0.4602 0.9203 0.2500
0.8696 0.7391 0.6830
0.8696 0.7391 0.8170
0.1529 0.3058 0.0447
0.8471 0.6942 0.9553
0.5364 0.0728 0.8763
0.1529 0.3058 0.4553
0.4636 0.9272 0.1237
0.5364 0.0728 0.6237
0.4636 0.9272 0.3763
0.8471 0.6942 0.5447
```

Results
symmetry = No. 63



The following is a DFT calculation (PBE) of an optimized crystal structure of PmSm5Er12.

Structure (POSCAR):
```
PmSm5Er12
1.0
-3.1743 -10.8036 0.1598
-0.1363 -5.7025 8.5740
-5.5828 1.6553 1.0122
Sm Er Pm
5 12 1
direct
0.6668 0.6664 0.0000
0.8329 0.3343 0.5000
0.3332 0.3336 0.0000
0.5000 0.0000 0.5000
0.1671 0.6657 0.5000
0.1767 0.0000 0.5505
0.8233 0.0000 0.4495
0.9898 0.6665 0.0516
0.6763 0.0000 0.9495
0.3438 0.6665 0.9484
0.4897 0.6668 0.4485
0.6562 0.3335 0.0516
0.1565 0.3332 0.4485
0.5103 0.3332 0.5515
0.0102 0.3335 0.9484
0.3237 0.0000 0.0505
0.8435 0.6668 0.5515
0.0000 0.0000 0.0000
```

Results
symmetry = No. 12



The following is a DFT calculation (PBE) of an optimized crystal structure of EuTh2Hg.

Structure (POSCAR):
```
EuTh2Hg
1.0
3.4621 0.0000 0.0000
1.7311 2.9983 0.0000
1.7311 0.9994 12.3001
Th Hg Eu
2 1 1
direct
0.0940 0.0940 0.7180
0.9060 0.9060 0.2820
0.5000 0.5000 0.5000
0.0000 0.0000 0.0000
```

Results
symmetry = No. 166



What energy relative to the elements values result from the calculations? In sequence: 0.12, 0.11, 0.15 eV/atom.
What calculated total energy values result from the calculations? In sequence: -4.71, -4.51, -6.20 eV per atom.